The following is a DFT calculation (PBE+U) of YMgMoO4 after structural relaxation. Values from VASP.

VASP energy, eV per atom: -7.545
DOS(E_F), states/eV per cell: 0.000
Density, Mg/m³: 4.7

Cell and atoms, written as Quantum ESPRESSO input:
```
&SYSTEM
  ibrav = 0, nat = 14, ntyp = 4
/
ATOMIC_SPECIES
Y 88.91 Y.upf
Mg 24.30 Mg.upf
Mo 95.94 Mo.upf
O 16.00 O.upf
ATOMIC_POSITIONS crystal
Y 0.000 0.000 0.000
Y 0.500 0.000 0.500
Mg 0.368 0.618 0.750
Mg 0.632 0.382 0.250
Mo 0.000 0.000 0.500
Mo 0.000 0.500 0.000
O 0.228 0.747 0.481
O 0.234 0.253 0.981
O 0.242 0.233 0.492
O 0.242 0.750 0.008
O 0.758 0.250 0.992
O 0.758 0.767 0.508
O 0.766 0.747 0.019
O 0.772 0.253 0.519
CELL_PARAMETERS angstrom
-3.214 3.290 4.524
3.214 -3.290 4.524
3.214 3.290 -4.524
```